KW3F: relaxed, GGA+U.

POSCAR file:
```
KW3F
1.0
6.1990 0.0000 0.0000
0.0000 6.1990 0.0000
0.0000 0.0000 6.1990
W K F
3 1 1
Cartesian
0.0000 0.0000 3.0995
0.0000 3.0995 0.0000
3.0995 0.0000 0.0000
0.0000 0.0000 0.0000
3.0995 3.0995 3.0995
```

N(E_F) ... 0.067 states/eV/atom
Total energy ... -10.32 eV/cell
Total moment ... 16.000 μB per cell